(1)
Entry from Alexandria: a geometry-optimized LaHo2Tm structure (PBE).

Cell: 12.5465 12.5465 12.5465 Å, 15.87 15.87 15.87°
Element x y z (fractional)
La 0.0000 0.0000 0.0000
Ho 0.0911 0.0911 0.0911
Ho 0.9089 0.9089 0.9089
Tm 0.5000 0.5000 0.5000

Computed properties:
The density of states at the Fermi level is 5.6 states/eV per cell.

(2)
Entry from Alexandria: a geometry-optimized LaHo2Tm structure (PBE).

Cell: 11.6965 11.6965 11.6965 Å, 17.68 17.68 17.68°
Element x y z (fractional)
La 0.0000 0.0000 0.0000
Ho 0.4188 0.4188 0.4188
Ho 0.5802 0.5802 0.5802
Tm 0.1658 0.1658 0.1658

Computed properties:
The density of states at the Fermi level is 6.5 states/eV per cell.

Which of them is most stable? Easy: (2).

(1)
Entry from Alexandria: a geometry-optimized La3Ho4Tm2 structure (PBE).

Cell: 9.9179 9.9179 6.3884 Å, 100.73 100.73 81.99°
Element x y z (fractional)
La 0.0384 0.9616 0.7500
La 0.3355 0.4605 0.0116
La 0.4605 0.3355 0.5116
La 0.5395 0.6645 0.4884
La 0.6645 0.5395 0.9884
La 0.9616 0.0384 0.2500
Ho 0.0033 0.6376 0.8939
Ho 0.1993 0.6181 0.4925
Ho 0.3624 0.9967 0.6061
Ho 0.3819 0.8007 0.0075
Ho 0.6181 0.1993 0.9925
Ho 0.6376 0.0033 0.3939
Ho 0.8007 0.3819 0.5075
Ho 0.9967 0.3624 0.1061
Tm 0.1341 0.2898 0.6146
Tm 0.2898 0.1341 0.1146
Tm 0.7102 0.8659 0.8854
Tm 0.8659 0.7102 0.3854

Computed properties:
The density of states at the Fermi level is 28.9 states/eV per cell.

(2)
Entry from Alexandria: a geometry-optimized La3Ho4Tm2 structure (PBE).

Cell: 10.0773 10.0773 6.1574 Å, 96.13 96.13 71.67°
Element x y z (fractional)
La 0.1343 0.8657 0.7500
La 0.2003 0.4642 0.9183
La 0.4642 0.2003 0.4183
La 0.5358 0.7997 0.5817
La 0.7997 0.5358 0.0817
La 0.8657 0.1343 0.2500
Ho 0.0980 0.3452 0.3703
Ho 0.3193 0.5675 0.4654
Ho 0.3452 0.0980 0.8703
Ho 0.4325 0.6807 0.0346
Ho 0.5675 0.3193 0.9654
Ho 0.6548 0.9020 0.1297
Ho 0.6807 0.4325 0.5346
Ho 0.9020 0.6548 0.6297
Tm 0.0123 0.7688 0.2011
Tm 0.2312 0.9877 0.2989
Tm 0.7688 0.0123 0.7011
Tm 0.9877 0.2312 0.7989

Computed properties:
The density of states at the Fermi level is 27.0 states/eV per cell.

Which of them is most stable? Easy: (2).

(1)
Entry from Alexandria: a geometry-optimized La3HoTm structure (PBE).

Cell: 3.5965 17.6790 11.1184 Å, 90.00 90.00 90.00°
Element x y z (fractional)
La 0.2478 0.2500 0.0000
La 0.2478 0.2500 0.5000
La 0.2509 0.5750 0.0571
La 0.2509 0.5750 0.4429
La 0.2509 0.9250 0.5571
La 0.2509 0.9250 0.9429
La 0.7491 0.0750 0.0571
La 0.7491 0.0750 0.4429
La 0.7491 0.4250 0.5571
La 0.7491 0.4250 0.9429
La 0.7522 0.7500 0.0000
La 0.7522 0.7500 0.5000
Ho 0.2535 0.7262 0.2500
Ho 0.2535 0.7738 0.7500
Ho 0.7465 0.2262 0.2500
Ho 0.7465 0.2738 0.7500
Tm 0.2472 0.1032 0.7500
Tm 0.2472 0.3968 0.2500
Tm 0.7528 0.6032 0.7500
Tm 0.7528 0.8968 0.2500

Computed properties:
The density of states at the Fermi level is 30.9 states/eV per cell.

(2)
Entry from Alexandria: a geometry-optimized La3HoTm structure (PBE).

Cell: 9.0556 9.0556 7.1797 Å, 90.01 90.01 35.91°
Element x y z (fractional)
La 0.0000 0.0000 0.0000
La 0.0006 0.0006 0.5005
La 0.2007 0.2007 0.4950
La 0.3919 0.3919 0.2495
La 0.6087 0.6087 0.7499
La 0.8000 0.8000 0.9942
Ho 0.3893 0.3893 0.7428
Ho 0.6115 0.6115 0.2433
Tm 0.1978 0.1978 0.9965
Tm 0.8029 0.8029 0.4954

Computed properties:
The density of states at the Fermi level is 14.6 states/eV per cell.

Which of them is most stable? Easy: (2).